# 1
Entry from OQMD via LeMat-Bulk: a relaxed structure of KUCu (PBE-GGA).

Cell: 5.042 5.042 5.042 Å, 60.00 60.00 60.00°
Positions (direct):
1 U 0.750 0.750 0.750
2 Cu 0.000 0.000 0.000
3 K 0.250 0.250 0.250

Calculated values
Final energy ... -0.1485 hartree per atom
Excess energy over the best structure of this formula in the dataset ... 0.000 eV/atom



# 2
Entry from OQMD via LeMat-Bulk: a relaxed structure of K2Cu2W3 (PBE-GGA).

Cell: 9.258 9.258 9.258 Å, 27.77 27.77 27.77°
Positions (direct):
1 W 0.318 0.318 0.318
2 W 0.931 0.931 0.931
3 W 0.633 0.633 0.633
4 K 0.165 0.165 0.165
5 K 0.759 0.759 0.759
6 Cu 0.024 0.024 0.024
7 Cu 0.543 0.543 0.543

Calculated values
Final energy ... -0.2218 hartree per atom



# 3
Entry from OQMD via LeMat-Bulk: a relaxed structure of Li2La2Cu15 (PBE-GGA).

Cell: 6.540 6.540 6.540 Å, 82.82 82.82 82.82°
Positions (direct):
1 Cu 0.000 0.297 0.703
2 Cu 0.703 0.000 0.297
3 Cu 0.844 0.341 0.341
4 Cu 0.659 0.156 0.659
5 Cu 0.659 0.659 0.156
6 Cu 0.341 0.844 0.341
7 Cu 0.297 0.000 0.703
8 Cu 0.703 0.297 0.000
9 Cu 0.500 0.000 0.000
10 Cu 0.156 0.659 0.659
11 Cu 0.000 0.703 0.297
12 Cu 0.297 0.703 0.000
13 Cu 0.000 0.000 0.500
14 Cu 0.000 0.500 0.000
15 Cu 0.341 0.341 0.844
16 La 0.345 0.345 0.345
17 La 0.655 0.655 0.655
18 Li 0.092 0.092 0.092
19 Li 0.908 0.908 0.908

Calculated values
Final energy ... -0.1387 hartree per atom



# 4
Entry from OQMD via LeMat-Bulk: a relaxed structure of LiLa2CuSn2 (PBE-GGA).

Cell: 4.684 4.684 8.107 Å, 90.00 90.00 120.00°
Positions (direct):
1 La 0.667 0.333 0.746
2 La 0.667 0.333 0.254
3 Sn 0.000 0.000 0.000
4 Sn 0.333 0.667 0.500
5 Li 0.333 0.667 0.000
6 Cu 0.000 0.000 0.500

Calculated values
Final energy ... -0.1670 hartree per atom



# 5
Entry from OQMD via LeMat-Bulk: a relaxed structure of LaLuCu (PBE-GGA).

Cell: 4.925 4.925 4.925 Å, 60.00 60.00 60.00°
Positions (direct):
1 Cu 0.000 0.000 0.000
2 La 0.250 0.250 0.250
3 Lu 0.750 0.750 0.750

Calculated values
Final energy ... -0.1593 hartree per atom
Excess energy over the best structure of this formula in the dataset ... 0.000 eV/atom



# 6
Entry from OQMD via LeMat-Bulk: a relaxed structure of LaLuCu (PBE-GGA).

Cell: 4.912 4.912 4.912 Å, 60.00 60.00 60.00°
Positions (direct):
1 La 0.000 0.000 0.000
2 Lu 0.750 0.750 0.750
3 Cu 0.250 0.250 0.250

Calculated values
Final energy ... -0.1319 hartree per atom
Excess energy over the best structure of this formula in the dataset ... 0.745 eV/atom



# 7
Entry from OQMD via LeMat-Bulk: a relaxed structure of La2NdMg3CuPd2 (PBE-GGA).

Cell: 4.161 7.695 7.695 Å, 120.38 90.00 90.00°
Positions (direct):
1 Mg 0.500 0.003 0.237
2 Mg 0.500 0.237 0.003
3 Mg 0.500 0.760 0.760
4 La 0.000 0.000 0.585
5 La 0.000 0.585 0.000
6 Cu 0.000 0.002 0.002
7 Nd 0.000 0.412 0.412
8 Pd 0.500 0.334 0.668
9 Pd 0.500 0.668 0.334

Calculated values
Final energy ... -0.1550 hartree per atom



# 8
Entry from OQMD via LeMat-Bulk: a relaxed structure of La2NdMg3CuPt2 (PBE-GGA).

Cell: 4.135 7.671 7.671 Å, 120.28 90.00 90.00°
Positions (direct):
1 Nd 0.000 0.587 0.587
2 Mg 0.500 0.997 0.762
3 Mg 0.500 0.242 0.242
4 Mg 0.500 0.762 0.997
5 Cu 0.000 0.998 0.998
6 Pt 0.500 0.666 0.332
7 Pt 0.500 0.332 0.666
8 La 0.000 0.417 0.000
9 La 0.000 0.000 0.417

Calculated values
Final energy ... -0.1684 hartree per atom



# 9
Entry from OQMD via LeMat-Bulk: a relaxed structure of La2Mg4CuNi (PBE-GGA).

Cell: 8.244 5.551 5.551 Å, 45.70 90.00 90.00°
Positions (direct):
1 La 0.500 0.057 0.057
2 La 0.000 0.941 0.941
3 Mg 0.309 0.346 0.346
4 Mg 0.801 0.653 0.653
5 Mg 0.199 0.653 0.653
6 Mg 0.691 0.346 0.346
7 Ni 0.500 0.774 0.774
8 Cu 0.000 0.230 0.230

Calculated values
Final energy ... -0.1245 hartree per atom



# 10
Entry from OQMD via LeMat-Bulk: a relaxed structure of La2Mg4CuPd (PBE-GGA).

Cell: 8.286 5.652 5.652 Å, 45.49 90.00 90.00°
Positions (direct):
1 Pd 0.500 0.226 0.226
2 Cu 0.000 0.772 0.772
3 Mg 0.304 0.652 0.652
4 Mg 0.805 0.349 0.349
5 Mg 0.696 0.652 0.652
6 Mg 0.195 0.349 0.349
7 La 0.000 0.059 0.059
8 La 0.500 0.942 0.942

Calculated values
Final energy ... -0.1281 hartree per atom



# 11
Entry from OQMD via LeMat-Bulk: a relaxed structure of La2PrMg3CuPd2 (PBE-GGA).

Cell: 4.175 7.710 7.710 Å, 120.38 90.00 90.00°
Positions (direct):
1 Pr 0.000 0.588 0.588
2 Pd 0.500 0.667 0.331
3 Pd 0.500 0.331 0.667
4 La 0.000 0.000 0.415
5 La 0.000 0.415 0.000
6 Mg 0.500 0.764 0.998
7 Mg 0.500 0.998 0.764
8 Mg 0.500 0.239 0.239
9 Cu 0.000 0.000 0.000

Calculated values
Final energy ... -0.1550 hartree per atom



# 12
Entry from OQMD via LeMat-Bulk: a relaxed structure of LaMgCuSeS2 (PBE-GGA).

Cell: 6.545 6.545 11.087 Å, 90.00 90.00 145.94°
Positions (direct):
1 Se 0.895 0.105 0.250
2 Se 0.105 0.895 0.750
3 La 0.000 0.000 0.000
4 La 0.000 0.000 0.500
5 Mg 0.219 0.781 0.250
6 Mg 0.781 0.219 0.750
7 Cu 0.523 0.477 0.250
8 Cu 0.477 0.523 0.750
9 S 0.354 0.646 0.904
10 S 0.354 0.646 0.596
11 S 0.646 0.354 0.096
12 S 0.646 0.354 0.404

Calculated values
Final energy ... -0.1810 hartree per atom